No. 1
The following is a PBE calculation of a relaxed structure of Ca2MgCu2, from Alexandria via LeMat-Bulk.

a b c (Å): 8.0336 8.0336 7.8989
angles (deg): 90.00 90.00 150.02
Element x y z (fractional)
Ca  0.0543  0.9457  0.5000
Ca  0.2050  0.7950  0.8803
Ca  0.7950  0.2050  0.3803
Ca  0.9457  0.0543  0.0000
Mg  0.4050  0.5950  0.6525
Mg  0.5950  0.4050  0.1525
Cu  0.1876  0.8124  0.2418
Cu  0.4375  0.5625  0.3064
Cu  0.5625  0.4375  0.8064
Cu  0.8124  0.1876  0.7418

space group: No. 36
energy relative to the elements: 0 kJ per mole of atoms
Fermi-level density of states: 4.99 states/eV/cell
magnetization: 0.00 μB/f.u.
ρ: 3.02 Mg/m³

***

No. 2
The following is a PBE calculation of a relaxed structure of Ca3Mg2Cu, from Alexandria via LeMat-Bulk.

a b c (Å): 7.1638 7.1638 8.4264
angles (deg): 90.00 90.00 120.00
Element x y z (fractional)
Ca  0.1657  0.3314  0.2500
Ca  0.1657  0.8343  0.2500
Ca  0.3314  0.1657  0.7500
Ca  0.6686  0.8343  0.2500
Ca  0.8343  0.1657  0.7500
Ca  0.8343  0.6686  0.7500
Mg  0.3333  0.6667  0.5750
Mg  0.3333  0.6667  0.9250
Mg  0.6667  0.3333  0.0750
Mg  0.6667  0.3333  0.4250
Cu  0.0000  0.0000  0.0000
Cu  0.0000  0.0000  0.5000

space group: No. 194
energy relative to the elements: 8 kJ per mole of atoms
Fermi-level density of states: 11.12 states/eV/cell
magnetization: 0.00 μB/f.u.
ρ: 2.06 Mg/m³
relative energy among the computed polymorphs: 104 meV per atom

***

No. 3
The following is a PBE calculation of a relaxed structure of Ca8MgCu4, from Alexandria via LeMat-Bulk.

a b c (Å): 8.7461 8.7461 8.7461
angles (deg): 95.72 95.72 143.20
Element x y z (fractional)
Ca  0.0000  0.2881  0.2881
Ca  0.0000  0.7119  0.7119
Ca  0.2881  0.0000  0.2881
Ca  0.3363  0.3363  0.6727
Ca  0.3363  0.6637  0.0000
Ca  0.6637  0.3363  0.0000
Ca  0.6637  0.6637  0.3273
Ca  0.7119  0.0000  0.7119
Mg  0.0000  0.0000  0.0000
Cu  0.1156  0.5000  0.6156
Cu  0.5000  0.1156  0.6156
Cu  0.5000  0.8844  0.3844
Cu  0.8844  0.5000  0.3844

space group: No. 139
energy relative to the elements: 1 kJ per mole of atoms
Fermi-level density of states: 10.43 states/eV/cell
magnetization: 0.00 μB/f.u.
ρ: 2.62 Mg/m³
relative energy among the computed polymorphs: 0 meV per atom

***

No. 4
The following is a PBE calculation of a relaxed structure of CaMg2Cu, from Alexandria via LeMat-Bulk.

a b c (Å): 4.5360 4.5360 16.6030
angles (deg): 90.00 90.00 120.00
Element x y z (fractional)
Ca  0.0000  0.0000  0.0000
Ca  0.3333  0.6667  0.6667
Ca  0.6667  0.3333  0.3333
Mg  0.0000  0.0000  0.2085
Mg  0.0000  0.0000  0.7915
Mg  0.3333  0.6667  0.4581
Mg  0.3333  0.6667  0.8752
Mg  0.6667  0.3333  0.1248
Mg  0.6667  0.3333  0.5419
Cu  0.0000  0.0000  0.5000
Cu  0.3333  0.6667  0.1667
Cu  0.6667  0.3333  0.8333

space group: No. 166
energy relative to the elements: 3 kJ per mole of atoms
Fermi-level density of states: 6.49 states/eV/cell
magnetization: 0.00 μB/f.u.
ρ: 2.56 Mg/m³